Below is LaTb3Ag after structural relaxation, with properties calculated at the PBE level.

For the electronic total energy, the calculation gives -4.305 eV per atom. Its energy relative to the elements is 0.03 eV per atom. The density of states at the Fermi level comes out at 27.4 states/eV/cell.

It has space group C2/m (No. 12), with a = 11.823 Å, b = 8.415 Å, c = 7.945 Å, α = 90.00°, β = 123.89° and γ = 90.00°. The asymmetric unit holds La at (0.052, 0.000, 0.303), Tb at (0.080, 0.500, 0.272), Tb at (0.179, 0.297, 0.704) and Ag at (0.225, 0.500, 0.058).


Below is LaTbTcAg after structural relaxation, with properties calculated at the PBE level.

For the electronic total energy, the calculation gives -5.722 eV per atom. Its energy relative to the elements is -0.03 eV per atom. The density of states at the Fermi level comes out at 17.8 states/eV/cell.

It has space group F-43m (No. 216), with a = 7.213 Å, b = 7.213 Å, c = 7.213 Å, α = 90.00°, β = 90.00° and γ = 90.00°. The asymmetric unit holds La at (0.000, 0.000, 0.000), Tb at (0.000, 0.000, 0.500), Tc at (0.250, 0.250, 0.750) and Ag at (0.250, 0.250, 0.250).


Below is LaTbAg2Te4 after structural relaxation, with properties calculated at the PBE level.

For the formation energy without anion corrections, the calculation gives -0.794 eV/atom. For the electronic total energy, the calculation gives -4.272 eV per atom. The density of states at the Fermi level comes out at 2.1 states/eV/cell.

It has space group I222 (No. 23), with a = 7.604 Å, b = 7.722 Å, c = 8.662 Å, α = 90.00°, β = 90.00° and γ = 90.00°. The asymmetric unit holds La at (0.000, 0.000, 0.000), Tb at (0.000, 0.000, 0.500), Ag at (0.000, 0.500, 0.162) and Te at (0.231, 0.239, 0.315).


Below is La3Tb3AgTe8 after structural relaxation, with properties calculated at the PBE level.

For the formation energy without anion corrections, the calculation gives -1.315 eV/atom. For the electronic total energy, the calculation gives -5.092 eV per atom. The density of states at the Fermi level comes out at 14.9 states/eV/cell.

It has space group R-3m (No. 166, hexagonal axes), with a = 8.9077 Å, b = 8.9077 Å, c = 21.8522 Å, α = 90.00°, β = 90.00° and γ = 120.00°. The asymmetric unit holds La at (0.0000, 0.5000, 0.0000), Tb at (0.0000, 0.5000, 0.5000), Ag at (0.0000, 0.0000, 0.5000), Te at (0.0000, 0.0000, 0.2452) and Te at (0.0066, 0.5033, 0.7530).


Below is La2TbAgTe5 after structural relaxation, with properties calculated at the PBE level.

For the formation energy without anion corrections, the calculation gives -1.293 eV/atom. For the electronic total energy, the calculation gives -4.965 eV per atom. The density of states at the Fermi level comes out at 0.2 states/eV/cell.

It has space group Cmc2_1 (No. 36), with a = 4.456 Å, b = 19.103 Å, c = 13.367 Å, α = 90.00°, β = 90.00° and γ = 90.00°. The asymmetric unit holds La at (0.000, 0.111, 0.000), La at (0.000, 0.124, 0.621), Tb at (0.000, 0.193, 0.323), Ag at (0.000, 0.432, 0.771), Te at (0.000, 0.043, 0.386), Te at (0.000, 0.288, 0.982), Te at (0.000, 0.305, 0.657), Te at (0.000, 0.357, 0.314) and Te at (0.000, 0.499, 0.089).


Below is LaTbThAg after structural relaxation, with properties calculated at the PBE level.

For the electronic total energy, the calculation gives -5.092 eV per atom. Its energy relative to the elements is -0.14 eV per atom. The density of states at the Fermi level comes out at 4.9 states/eV/cell.

It has space group P4mm (No. 99), with a = 3.670 Å, b = 3.670 Å, c = 8.703 Å, α = 90.00°, β = 90.00° and γ = 90.00°. The asymmetric unit holds La at (0.000, 0.000, 0.000), Tb at (0.000, 0.000, 0.446), Th at (0.500, 0.500, 0.717) and Ag at (0.500, 0.500, 0.244).


Below is LaTbTlAg after structural relaxation, with properties calculated at the PBE level.

For the electronic total energy, the calculation gives -4.035 eV per atom. The energy above the most stable polymorph in this dataset comes out at 0.0000 eV per atom. Its energy relative to the elements is -0.34 eV per atom. The density of states at the Fermi level comes out at 3.5 states/eV/cell.

It has space group P4mm (No. 99), with a = 3.733 Å, b = 3.733 Å, c = 7.992 Å, α = 90.00°, β = 90.00° and γ = 90.00°. The asymmetric unit holds La at (0.000, 0.000, 0.000), Tb at (0.000, 0.000, 0.528), Tl at (0.500, 0.500, 0.277) and Ag at (0.500, 0.500, 0.732).


Below is La2TbTl2Ag2 after structural relaxation, with properties calculated at the PBE level.

For the electronic total energy, the calculation gives -3.784 eV per atom. Its energy relative to the elements is -0.22 eV per atom. The density of states at the Fermi level comes out at 18.9 states/eV/cell.

It has space group R-3m (No. 166, hexagonal axes), with a = 4.9347 Å, b = 4.9347 Å, c = 27.7764 Å, α = 90.00°, β = 90.00° and γ = 120.00°. The asymmetric unit holds La at (0.0000, 0.0000, 0.1255), Tb at (0.0000, 0.0000, 0.0000), Tl at (0.0000, 0.0000, 0.2652) and Ag at (0.0000, 0.0000, 0.3886).


Below is LaTb2Tl2Ag2 after structural relaxation, with properties calculated at the PBE level.

For the electronic total energy, the calculation gives -3.740 eV per atom. Its energy relative to the elements is -0.22 eV per atom. The density of states at the Fermi level comes out at 22.3 states/eV/cell.

It has space group R-3m (No. 166, hexagonal axes), with a = 4.9555 Å, b = 4.9555 Å, c = 26.6263 Å, α = 90.00°, β = 90.00° and γ = 120.00°. The asymmetric unit holds La at (0.0000, 0.0000, 0.0000), Tb at (0.0000, 0.0000, 0.1339), Tl at (0.0000, 0.0000, 0.2614) and Ag at (0.0000, 0.0000, 0.4383).


Below is LaTbTlAg after structural relaxation, with properties calculated at the PBE level.

For the electronic total energy, the calculation gives -4.019 eV per atom. The energy above the most stable polymorph in this dataset comes out at 0.0159 eV per atom. Its energy relative to the elements is -0.33 eV per atom. The density of states at the Fermi level comes out at 15.2 states/eV/cell.

It has space group F-43m (No. 216), with a = 7.668 Å, b = 7.668 Å, c = 7.668 Å, α = 90.00°, β = 90.00° and γ = 90.00°. The asymmetric unit holds La at (0.000, 0.000, 0.000), Tb at (0.000, 0.000, 0.500), Tl at (0.250, 0.250, 0.250) and Ag at (0.250, 0.250, 0.750).


Below is LaTbYAg after structural relaxation, with properties calculated at the PBE level.

For the electronic total energy, the calculation gives -4.846 eV per atom. Its energy relative to the elements is -0.13 eV per atom. The density of states at the Fermi level comes out at 5.9 states/eV/cell.

It has space group P4mm (No. 99), with a = 3.672 Å, b = 3.672 Å, c = 8.749 Å, α = 90.00°, β = 90.00° and γ = 90.00°. The asymmetric unit holds La at (0.000, 0.000, 0.000), Tb at (0.500, 0.500, 0.707), Y at (0.500, 0.500, 0.298) and Ag at (0.000, 0.000, 0.502).


Below is LaTbZnAg after structural relaxation, with properties calculated at the PBE level.

For the electronic total energy, the calculation gives -3.728 eV per atom. The energy above the most stable polymorph in this dataset comes out at 0.0000 eV per atom. Its energy relative to the elements is -0.31 eV per atom. The density of states at the Fermi level comes out at 4.1 states/eV/cell.

It has space group P4mm (No. 99), with a = 3.689 Å, b = 3.689 Å, c = 7.472 Å, α = 90.00°, β = 90.00° and γ = 90.00°. The asymmetric unit holds La at (0.000, 0.000, 0.000), Tb at (0.000, 0.000, 0.485), Zn at (0.500, 0.500, 0.261) and Ag at (0.500, 0.500, 0.714).